Entry one
{
  "formula": "LiMg2Tl",
  "functional": "PBE",
  "state": "relaxed",
  "dos_ef_per_ev_cell": 2.95,
  "spacegroup": "No. 122",
  "lattice_angstrom": [[-1.4016, 5.3390, 5.8875], [-7.4659, -2.9346, 0.8838], [-3.4260, -0.7549, 5.4004]],
  "species": ["Li", "Mg", "Mg", "Tl", "Mg", "Mg", "Tl", "Li"],
  "frac_coords": [[0.5000, 0.5000, 0.0000], [0.3750, 0.3821, 0.7500], [0.8750, 0.8679, 0.7500], [0.0000, 0.0000, 0.0000], [0.6179, 0.1250, 0.2500], [0.1321, 0.6250, 0.2500], [0.7500, 0.2500, 0.5000], [0.2500, 0.7500, 0.5000]]
}

Entry two
{
  "formula": "LiMg2Tl",
  "functional": "PBE",
  "state": "relaxed",
  "dos_ef_per_ev_cell": 1.36,
  "spacegroup": "No. 99",
  "lattice_angstrom": [[-1.1228, 3.3685, -1.0849], [0.7038, -0.9029, -3.5320], [-5.9659, -2.1910, -0.6287]],
  "species": ["Li", "Mg", "Tl", "Mg"],
  "frac_coords": [[0.5000, 0.5000, 0.7436], [0.0000, 0.0000, 0.9910], [0.0000, 0.0000, 0.5111], [0.5000, 0.5000, 0.2542]]
}

Entry three
{
  "formula": "LiMg2Tl",
  "functional": "PBE",
  "state": "relaxed",
  "dos_ef_per_ev_cell": 1.64,
  "spacegroup": "No. 71",
  "lattice_angstrom": [[3.7946, 0.0000, 0.0000], [0.0000, 4.8156, 0.0000], [-1.8973, -2.4078, 4.8316]],
  "species": ["Mg", "Li", "Tl", "Mg"],
  "frac_coords": [[0.7466, 0.7466, 0.4932], [0.0000, 0.5000, 0.0000], [0.5000, 0.0000, 0.0000], [0.2534, 0.2534, 0.5068]]
}

Most stable: entry two. Least stable: entry one.

Entry one
{
  "formula": "Li3MgTl6",
  "functional": "PBE",
  "state": "relaxed",
  "dos_ef_per_ev_cell": 3.71,
  "spacegroup": "No. 12",
  "lattice_angstrom": [[7.5862, -1.3887, -0.9810], [2.6714, 5.4497, -0.3540], [2.6714, 1.4876, 5.2546]],
  "species": ["Tl", "Li", "Mg", "Li", "Tl", "Tl", "Tl", "Li", "Tl", "Tl"],
  "frac_coords": [[0.3015, 0.6263, 0.0998], [0.0000, 0.0000, 0.0000], [0.5000, 0.5000, 0.5000], [0.6750, 0.8804, 0.8804], [0.0629, 0.6657, 0.6657], [0.3015, 0.0998, 0.6263], [0.6985, 0.3737, 0.9002], [0.3250, 0.1196, 0.1196], [0.9371, 0.3343, 0.3343], [0.6985, 0.9002, 0.3737]]
}

Entry two
{
  "formula": "Li3MgTl6",
  "functional": "PBE",
  "state": "relaxed",
  "dos_ef_per_ev_cell": 9.01,
  "spacegroup": "No. 58",
  "lattice_angstrom": [[-1.0868, -3.6658, -3.0453], [6.4682, 2.3001, -5.0770], [7.2622, -7.1496, 6.0138]],
  "species": ["Li", "Tl", "Tl", "Tl", "Tl", "Tl", "Tl", "Mg", "Li", "Tl", "Tl", "Tl", "Li", "Mg", "Li", "Li", "Tl", "Tl", "Tl", "Li"],
  "frac_coords": [[0.5000, 0.8400, 0.8357], [0.5001, 0.4928, 0.2468], [0.0000, 0.6911, 0.6065], [0.5000, 0.8089, 0.1065], [0.0001, 0.0071, 0.7468], [0.0000, 0.3495, 0.0946], [0.9999, 0.9929, 0.2532], [0.5000, 0.5000, 0.5000], [0.5000, 0.5000, 0.0000], [0.5000, 0.1505, 0.5946], [0.0000, 0.6505, 0.9054], [0.5000, 0.1911, 0.8935], [0.0000, 0.3400, 0.6643], [0.0000, 0.0000, 0.0000], [0.0000, 0.6600, 0.3357], [0.0000, 0.0000, 0.5000], [0.5000, 0.8495, 0.4054], [0.4999, 0.5072, 0.7532], [0.0000, 0.3089, 0.3935], [0.5000, 0.1600, 0.1643]]
}

Most stable: entry two. Least stable: entry one.

Entry one
{
  "formula": "Li8Mg6Tl",
  "functional": "PBE",
  "state": "relaxed",
  "dos_ef_per_ev_cell": 6.30,
  "spacegroup": "No. 148",
  "lattice_angstrom": [[8.3337, 0.0000, 0.0000], [4.1669, 7.2172, 0.0000], [4.1669, 2.4057, 5.2052]],
  "species": ["Li", "Li", "Tl", "Mg", "Li", "Mg", "Li", "Mg", "Li", "Mg", "Li", "Li", "Mg", "Li", "Mg"],
  "frac_coords": [[0.8622, 0.0483, 0.7094], [0.6198, 0.1378, 0.2906], [0.0000, 0.0000, 0.0000], [0.8231, 0.3780, 0.2291], [0.7629, 0.7629, 0.7113], [0.5698, 0.8231, 0.2291], [0.1378, 0.9517, 0.2906], [0.3780, 0.5698, 0.2291], [0.0483, 0.3802, 0.7094], [0.4302, 0.1769, 0.7709], [0.2371, 0.2371, 0.2887], [0.9517, 0.6198, 0.2906], [0.1769, 0.6220, 0.7709], [0.3802, 0.8622, 0.7094], [0.6220, 0.4302, 0.7709]]
}

Entry two
{
  "formula": "Li8Mg6Tl",
  "functional": "PBE",
  "state": "relaxed",
  "dos_ef_per_ev_cell": 7.12,
  "spacegroup": "No. 147",
  "lattice_angstrom": [[6.0435, 0.0000, 0.0000], [-0.0001, 6.8806, -3.9726], [0.0000, -0.0002, 7.9448]],
  "species": ["Li", "Tl", "Li", "Mg", "Li", "Mg", "Li", "Li", "Mg", "Li", "Mg", "Li", "Li", "Mg", "Mg"],
  "frac_coords": [[0.6403, 0.0424, 0.3485], [0.5000, 0.0000, 0.0000], [0.3597, 0.3485, 0.3061], [0.8657, 0.6904, 0.0845], [0.6403, 0.6515, 0.6939], [0.1343, 0.6059, 0.6904], [0.6403, 0.3061, 0.9576], [0.4979, 0.3334, 0.6667], [0.8657, 0.9154, 0.6059], [0.5021, 0.6666, 0.3333], [0.1343, 0.3096, 0.9155], [0.3597, 0.6939, 0.0424], [0.3597, 0.9576, 0.6515], [0.1343, 0.0846, 0.3941], [0.8657, 0.3941, 0.3096]]
}

Most stable: entry one. Least stable: entry two.

Entry one
{
  "formula": "LiMg8Tl2",
  "functional": "PBE",
  "state": "relaxed",
  "dos_ef_per_ev_cell": 4.63,
  "spacegroup": "No. 123",
  "lattice_angstrom": [[4.6993, 0.0000, 0.0000], [0.0000, 4.6993, 0.0000], [0.0000, 0.0000, 11.6918]],
  "species": ["Mg", "Mg", "Mg", "Tl", "Mg", "Tl", "Mg", "Mg", "Mg", "Li", "Mg"],
  "frac_coords": [[0.5000, 0.0000, 0.8647], [0.0000, 0.5000, 0.8647], [0.5000, 0.5000, 0.6795], [0.0000, 0.0000, 0.3141], [0.0000, 0.5000, 0.5000], [0.0000, 0.0000, 0.6859], [0.0000, 0.5000, 0.1353], [0.5000, 0.5000, 0.3205], [0.5000, 0.0000, 0.5000], [0.0000, 0.0000, 0.0000], [0.5000, 0.0000, 0.1353]]
}

Entry two
{
  "formula": "LiMg8Tl2",
  "functional": "PBE",
  "state": "relaxed",
  "dos_ef_per_ev_cell": 3.42,
  "spacegroup": "No. 12",
  "lattice_angstrom": [[4.3704, 0.0000, -1.2563], [-0.6880, 6.6313, -2.3932], [0.0814, 0.6990, 8.5129]],
  "species": ["Mg", "Mg", "Mg", "Tl", "Mg", "Tl", "Mg", "Mg", "Mg", "Mg", "Li"],
  "frac_coords": [[0.0414, 0.7359, 0.0828], [0.4107, 0.5462, 0.8214], [0.9586, 0.2641, 0.9172], [0.7783, 0.3477, 0.5565], [0.6765, 0.9155, 0.3530], [0.2217, 0.6523, 0.4435], [0.1384, 0.1884, 0.2768], [0.5893, 0.4538, 0.1786], [0.3235, 0.0845, 0.6470], [0.8616, 0.8116, 0.7232], [0.5000, 0.0000, 0.0000]]
}

Most stable: entry two. Least stable: entry one.

Entry one
{
  "formula": "LiMg5Tl4",
  "functional": "PBE",
  "state": "relaxed",
  "dos_ef_per_ev_cell": 4.15,
  "spacegroup": "No. 12",
  "lattice_angstrom": [[4.8020, 0.0000, -1.6463], [-0.5689, 6.0583, -1.6595], [0.1044, -0.0393, 8.1310]],
  "species": ["Mg", "Tl", "Tl", "Tl", "Mg", "Mg", "Tl", "Mg", "Li", "Mg"],
  "frac_coords": [[0.5000, 0.5000, 0.0000], [0.3072, 0.7012, 0.6145], [0.0909, 0.8662, 0.1818], [0.6928, 0.2988, 0.3855], [0.8934, 0.6115, 0.7868], [0.7052, 0.8123, 0.4104], [0.9091, 0.1338, 0.8182], [0.1066, 0.3885, 0.2132], [0.5000, 0.0000, 0.0000], [0.2948, 0.1877, 0.5896]]
}

Entry two
{
  "formula": "LiMg5Tl4",
  "functional": "PBE",
  "state": "relaxed",
  "dos_ef_per_ev_cell": 3.79,
  "spacegroup": "No. 79",
  "lattice_angstrom": [[6.2112, 0.0000, 0.0000], [3.1056, 6.4114, 0.0000], [3.1056, 0.0000, 6.4114]],
  "species": ["Mg", "Tl", "Tl", "Mg", "Mg", "Tl", "Mg", "Tl", "Li", "Mg"],
  "frac_coords": [[0.8528, 0.3532, 0.8543], [0.5163, 0.6223, 0.2424], [0.1386, 0.2424, 0.3777], [0.2061, 0.8543, 0.6468], [0.0604, 0.6468, 0.1457], [0.3810, 0.3777, 0.7576], [0.7072, 0.1457, 0.3532], [0.7587, 0.7576, 0.6223], [0.2162, 0.0000, 0.0000], [0.6730, 0.0000, 0.0000]]
}

Most stable: entry one. Least stable: entry two.

Entry one
{
  "formula": "Li4Mg3Tl4",
  "functional": "PBE",
  "state": "relaxed",
  "dos_ef_per_ev_cell": 4.08,
  "spacegroup": "No. 71",
  "lattice_angstrom": [[4.4576, 0.0000, 0.0000], [0.0000, 8.5017, 0.0000], [-2.2288, -4.2508, 6.7753]],
  "species": ["Tl", "Tl", "Mg", "Li", "Li", "Li", "Mg", "Mg", "Li", "Tl", "Tl"],
  "frac_coords": [[0.5000, 0.2002, 0.0000], [0.7576, 0.2576, 0.5151], [0.0000, 0.5000, 0.0000], [0.3141, 0.1370, 0.6283], [0.6859, 0.8630, 0.3717], [0.6859, 0.5087, 0.3717], [0.1150, 0.1150, 0.2300], [0.8850, 0.8850, 0.7700], [0.3141, 0.4913, 0.6283], [0.2424, 0.7424, 0.4849], [0.5000, 0.7998, 0.0000]]
}

Entry two
{
  "formula": "Li4Mg3Tl4",
  "functional": "PBE",
  "state": "relaxed",
  "dos_ef_per_ev_cell": 3.58,
  "spacegroup": "No. 2",
  "lattice_angstrom": [[-1.7378, 1.3983, 2.4759], [2.1534, -2.2058, 2.7692], [11.5320, 13.1436, -1.5580]],
  "species": ["Li", "Mg", "Tl", "Li", "Tl", "Mg", "Li", "Mg", "Li", "Tl", "Tl"],
  "frac_coords": [[0.7291, 0.7274, 0.4559], [0.0000, 0.0000, 0.0000], [0.1865, 0.1846, 0.3729], [0.0933, 0.0905, 0.1843], [0.8134, 0.8154, 0.6271], [0.3604, 0.3618, 0.7206], [0.9067, 0.9095, 0.8157], [0.6396, 0.6383, 0.2794], [0.2708, 0.2727, 0.5441], [0.5548, 0.5491, 0.1022], [0.4452, 0.4509, 0.8978]]
}

Most stable: entry two. Least stable: entry one.

Entry one
{
  "formula": "Li7MgTl2",
  "functional": "PBE",
  "state": "relaxed",
  "dos_ef_per_ev_cell": 3.29,
  "spacegroup": "No. 65",
  "lattice_angstrom": [[4.9360, 0.0000, 0.0000], [0.0000, 7.9822, -0.7621], [0.0000, -4.2052, 6.8273]],
  "species": ["Li", "Li", "Mg", "Li", "Tl", "Li", "Li", "Li", "Tl", "Li"],
  "frac_coords": [[0.5000, 0.2856, 0.0667], [0.5000, 0.5000, 0.5000], [0.0000, 0.0000, 0.0000], [0.0000, 0.7891, 0.2109], [0.5000, 0.2939, 0.7061], [0.0000, 0.2109, 0.7891], [0.5000, 0.0667, 0.2856], [0.5000, 0.7144, 0.9333], [0.5000, 0.7061, 0.2939], [0.5000, 0.9333, 0.7144]]
}

Entry two
{
  "formula": "Li7MgTl2",
  "functional": "PBE",
  "state": "relaxed",
  "dos_ef_per_ev_cell": 3.03,
  "spacegroup": "No. 156",
  "lattice_angstrom": [[-4.7509, -0.5024, -0.0626], [2.6474, -2.6820, 2.9369], [-0.8337, 6.9944, 7.1388]],
  "species": ["Tl", "Tl", "Li", "Li", "Li", "Mg", "Li", "Li", "Li", "Li"],
  "frac_coords": [[0.6667, 0.3333, 0.3303], [0.3333, 0.6667, 0.7292], [0.0000, 0.0000, 0.5118], [0.6667, 0.3333, 0.0175], [0.3333, 0.6667, 0.9906], [0.0000, 0.0000, 0.8496], [0.3333, 0.6667, 0.4687], [0.0000, 0.0000, 0.1949], [0.6667, 0.3333, 0.6563], [0.3333, 0.6667, 0.2345]]
}

Most stable: entry two. Least stable: entry one.

Entry one
{
  "formula": "Li12Mg5Tl2",
  "functional": "PBE",
  "state": "relaxed",
  "dos_ef_per_ev_cell": 5.39,
  "spacegroup": "No. 12",
  "lattice_angstrom": [[-2.4990, -3.2591, -2.4310], [1.2161, -8.7610, 5.7777], [-6.1614, -4.3241, 7.4131]],
  "species": ["Li", "Li", "Li", "Li", "Mg", "Mg", "Li", "Li", "Li", "Mg", "Li", "Mg", "Mg", "Li", "Tl", "Li", "Li", "Li", "Tl"],
  "frac_coords": [[0.8111, 0.4540, 0.9248], [0.5828, 0.2065, 0.6277], [0.8111, 0.9248, 0.4540], [0.1889, 0.0752, 0.5460], [0.6878, 0.8131, 0.8131], [0.2936, 0.7075, 0.7075], [0.5828, 0.6277, 0.2065], [0.4172, 0.3723, 0.7935], [0.1889, 0.5460, 0.0752], [0.5000, 0.0000, 0.0000], [0.9179, 0.5828, 0.5828], [0.3122, 0.1869, 0.1869], [0.7064, 0.2925, 0.2925], [0.8975, 0.1019, 0.1019], [0.0000, 0.7707, 0.2293], [0.4172, 0.7935, 0.3723], [0.1025, 0.8981, 0.8981], [0.0821, 0.4172, 0.4172], [0.0000, 0.2293, 0.7707]]
}

Entry two
{
  "formula": "Li12Mg5Tl2",
  "functional": "PBE",
  "state": "relaxed",
  "dos_ef_per_ev_cell": 8.72,
  "spacegroup": "No. 12",
  "lattice_angstrom": [[8.2134, 0.0000, 0.0000], [-4.1067, 6.8106, 1.2369], [0.0000, -1.2904, 6.7571]],
  "species": ["Li", "Mg", "Li", "Li", "Li", "Li", "Li", "Li", "Li", "Li", "Mg", "Mg", "Mg", "Li", "Mg", "Li", "Tl", "Li", "Tl"],
  "frac_coords": [[0.4500, 0.8999, 0.6818], [0.2416, 0.4832, 0.5577], [0.9649, 0.3191, 0.2381], [0.8293, 0.2382, 0.6552], [0.1707, 0.7618, 0.3448], [0.3541, 0.3191, 0.2381], [0.9015, 0.8030, 0.1038], [0.4088, 0.2382, 0.6552], [0.5500, 0.1001, 0.3182], [0.0985, 0.1970, 0.8962], [0.6878, 0.3757, 0.9835], [0.0000, 0.0000, 0.5000], [0.7584, 0.5168, 0.4423], [0.5912, 0.7618, 0.3448], [0.3122, 0.6243, 0.0165], [0.0351, 0.6809, 0.7619], [0.7098, 0.0000, 0.0000], [0.6459, 0.6809, 0.7619], [0.2902, 0.0000, 0.0000]]
}

Most stable: entry one. Least stable: entry two.